Entry 1:
This record from Alexandria describes a geometry-optimized NaCdAs2O6 structure. The functional is GGA-PBE.

```
NaCdAs2O6
1.0
5.319 -4.765 0.000
5.319 4.765 0.000
-2.239 0.000 5.772
Na Cd As O
2 2 4 12
direct
0.219 0.781 0.750
0.781 0.219 0.250
0.399 0.601 0.250
0.601 0.399 0.750
0.119 0.292 0.736
0.292 0.119 0.236
0.708 0.881 0.764
0.881 0.708 0.264
0.108 0.601 0.335
0.136 0.150 0.953
0.150 0.136 0.453
0.295 0.468 0.847
0.399 0.892 0.165
0.468 0.295 0.347
0.532 0.705 0.653
0.601 0.108 0.835
0.705 0.532 0.153
0.850 0.864 0.547
0.864 0.850 0.047
0.892 0.399 0.665
```

Computed properties:
M_tot = 0.000 μB/f.u.
Raw formation energy = -1.269 eV per atom



Entry 2:
This record from Alexandria describes a geometry-optimized Ca2Al2Ni structure. The functional is GGA-PBE.

```
Ca2Al2Ni
1.0
6.677 0.000 0.000
0.000 6.677 0.000
0.000 0.000 5.004
Ca Al Ni
4 4 2
direct
0.177 0.323 0.000
0.323 0.823 0.000
0.677 0.177 0.000
0.823 0.677 0.000
0.143 0.643 0.500
0.357 0.143 0.500
0.643 0.857 0.500
0.857 0.357 0.500
0.000 0.000 0.500
0.500 0.500 0.500
```

Computed properties:
Formation energy from the elements = -128 meV per atom
M_tot = 0.000 μB/f.u.



Entry 3:
This record from Alexandria describes a geometry-optimized RbSr2CdW structure. The functional is GGA-PBE.

```
RbSr2CdW
1.0
6.006 0.000 0.000
0.000 6.006 0.000
0.000 0.000 5.580
Rb Sr Cd W
1 2 1 1
direct
0.000 0.000 0.000
0.000 0.500 0.500
0.500 0.000 0.500
0.500 0.500 0.000
0.500 0.500 0.500
```

Computed properties:
Formation energy from the elements = 872 meV per atom
M_tot = 0.932 μB/f.u.



Entry 4:
This record from Alexandria describes a geometry-optimized ReSe3 structure. The functional is GGA-PBE.

```
ReSe3
1.0
-1.479 5.575 3.258
1.479 -5.575 3.258
1.479 5.575 -3.258
Re Se
1 3
direct
0.000 0.000 0.000
0.309 0.653 0.655
0.693 0.193 0.500
0.998 0.653 0.345
```

Computed properties:
Excess energy over the best structure of this formula in the dataset = 0 meV per atom
M_tot = 0.000 μB/f.u.
Raw formation energy = -0.027 eV per atom



Entry 5:
This record from Alexandria describes a geometry-optimized TlAgMo2 structure. The functional is GGA-PBE.

```
TlAgMo2
1.0
2.829 0.000 0.000
0.000 2.829 0.000
0.000 0.000 8.932
Tl Ag Mo
1 1 2
direct
0.000 0.000 0.000
0.000 0.000 0.500
0.500 0.500 0.260
0.500 0.500 0.740
```

Computed properties:
Excess energy over the best structure of this formula in the dataset = 335 meV per atom
Formation energy from the elements = 776 meV per atom
M_tot = 0.000 μB/f.u.



Entry 6:
This record from Alexandria describes a geometry-optimized CePmIrAu structure. The functional is GGA-PBE.

```
CePmIrAu
1.0
0.000 3.598 3.598
3.598 0.000 3.598
3.598 3.598 0.000
Ce Pm Ir Au
1 1 1 1
direct
0.000 0.000 0.000
0.500 0.500 0.500
0.250 0.250 0.250
0.750 0.750 0.750
```

Computed properties:
Excess energy over the best structure of this formula in the dataset = 129 meV per atom
Formation energy from the elements = -644 meV per atom
M_tot = 0.765 μB/f.u.